[1]
A geometry-optimized BIrC2 structure. Source: the Alexandria database, functional PBE.

Fermi-level density of states in states/eV/cell: 5.4
Magnetization in μB/atom: 0.00
Space group: No. 160
Total DFT energy (no corrections) in eV/atom: -7.84

Unit cell a=2.809 b=2.809 c=15.598 alpha=90.00 beta=90.00 gamma=120.00
Element x y z (fractional)
C1 0.000 0.000 0.710
C2 0.333 0.667 0.377
C3 0.667 0.333 0.043
C4 0.000 0.000 0.172
C5 0.333 0.667 0.838
C6 0.667 0.333 0.505
Ir1 0.000 0.000 0.918
Ir2 0.333 0.667 0.585
Ir3 0.667 0.333 0.251
B1 0.000 0.000 0.066
B2 0.333 0.667 0.733
B3 0.667 0.333 0.400


[2]
A geometry-optimized BIrC2 structure. Source: the Alexandria database, functional PBE.

Fermi-level density of states in states/eV/cell: 2.6
Magnetization in μB/atom: 0.00
Space group: No. 8
Total DFT energy (no corrections) in eV/atom: -7.85

Unit cell a=5.314 b=2.757 c=5.703 alpha=90.00 beta=119.25 gamma=90.00
Element x y z (fractional)
C1 0.127 0.000 0.318
C2 0.127 0.500 0.818
C3 0.896 0.000 0.044
C4 0.896 0.500 0.544
Ir1 0.569 0.000 0.402
Ir2 0.569 0.500 0.902
B1 0.177 0.000 0.971
B2 0.177 0.500 0.471


[3]
A geometry-optimized NiBIrC2 structure. Source: the Alexandria database, functional PBE.

Fermi-level density of states in states/eV/cell: 3.4
Magnetization in μB/atom: 0.03
Space group: No. 123
Total DFT energy (no corrections) in eV/atom: -5.90

Unit cell a=3.769 b=5.177 c=3.769 alpha=90.00 beta=90.00 gamma=90.00
Site moments in Bohr magnetons follow the coordinates.
Element x y z (fractional)
Ni1 0.000 0.500 0.000  0.17
C1 0.000 0.000 0.500  0.00
C2 0.500 0.000 0.000  0.00
Ir1 0.000 0.000 0.000  0.00
B1 0.500 0.500 0.500  -0.01


[4]
A geometry-optimized BIrC2O structure. Source: the Alexandria database, functional PBE.

Fermi-level density of states in states/eV/cell: 3.6
Raw formation energy in meV/atom: 2137
Magnetization in μB/atom: 0.00
Space group: No. 123

Unit cell a=3.861 b=4.247 c=3.861 alpha=90.00 beta=90.00 gamma=90.00
Element x y z (fractional)
C1 0.000 0.000 0.500
C2 0.500 0.000 0.000
Ir1 0.000 0.000 0.000
B1 0.500 0.500 0.500
O1 0.000 0.500 0.000


Among the records above, which one has the highest magnetization? NiBIrC2